Entry 1:
CePmTeS | GGA-PBE | optimized geometry

Calculated values
SG   No. 160
Energy relative to the elements, uncorrected   -1709 meV/atom
Magnetic moment   0.263 μB per atom

Lattice parameters (Å, degrees): 7.5494 7.5494 7.5494 32.28 32.28 32.28
Last column: nearest neighbours and their distance in Å.
Atoms (fractional coordinates):
Ce1 0.0000 0.0000 0.0000  3 S 2.86, 3 Te 3.19
Pm1 0.4729 0.4729 0.4729  3 S 2.84
Te1 0.2364 0.2364 0.2364  3 Pm 3.19, 3 Ce 3.19
S1 0.7375 0.7375 0.7375  3 Pm 2.84, 3 Ce 2.86


Entry 2:
CePmTeS2 | GGA-PBE | optimized geometry

Calculated values
SG   No. 107
Energy relative to the elements, uncorrected   -1614 meV/atom
Magnetic moment   0.200 μB per atom

Lattice parameters (Å, degrees): 7.6662 7.6662 7.6662 145.61 145.61 49.43
Last column: nearest neighbours and their distance in Å.
Atoms (fractional coordinates):
Ce1 0.0000 0.0000 0.0000  4 S 2.74
Pm1 0.7205 0.7205 0.0000  4 S 2.73
Te1 0.3610 0.3610 0.0000  4 Ce 3.74, 4 Pm 3.75, 8 S 4.15-4.16
S1 0.1108 0.6108 0.5000  2 Pm 2.73, 2 Ce 2.74
S2 0.6108 0.1108 0.5000  2 Pm 2.73, 2 Ce 2.74


Entry 3:
Ce2PmTh3S6 | GGA-PBE | optimized geometry

Calculated values
SG   No. 12
Energy relative to the elements, uncorrected   -1946 meV/atom
Magnetic moment   0.052 μB per atom

Lattice parameters (Å, degrees): 6.9665 6.9665 7.0049 99.54 99.54 119.99
Last column: nearest neighbours and their distance in Å.
Atoms (fractional coordinates):
Ce1 0.1668 0.8332 0.0000  6 S 2.84
Ce2 0.8332 0.1668 0.0000  6 S 2.84
Pm1 0.5000 0.5000 0.0000  6 S 2.84
Th1 0.0000 0.0000 0.5000  6 S 2.86
Th2 0.3341 0.6659 0.5000  6 S 2.86-2.87
Th3 0.6659 0.3341 0.5000  6 S 2.86-2.87
S1 0.0842 0.4177 0.7533  2 Ce 2.84, 1 Pm 2.84, 3 Th 2.86-2.87
S2 0.2484 0.2484 0.2462  2 Ce 2.84, 1 Pm 2.84, 3 Th 2.86
S3 0.4177 0.0842 0.7533  2 Ce 2.84, 1 Pm 2.84, 3 Th 2.86-2.87
S4 0.5823 0.9158 0.2467  2 Ce 2.84, 1 Pm 2.84, 3 Th 2.86-2.87
S5 0.7516 0.7516 0.7538  2 Ce 2.84, 1 Pm 2.84, 3 Th 2.86
S6 0.9158 0.5823 0.2467  2 Ce 2.84, 1 Pm 2.84, 3 Th 2.86-2.87


Entry 4:
Ce3PmTh4S8 | GGA-PBE | optimized geometry

Calculated values
SG   No. 166
Energy relative to the elements, uncorrected   -1947 meV/atom
Magnetic moment   0.142 μB per atom

Lattice parameters (Å, degrees): 8.1056 8.1056 8.1056 59.36 59.36 59.36
Last column: nearest neighbours and their distance in Å.
Atoms (fractional coordinates):
Ce1 0.0000 0.5000 0.5000  6 S 2.84
Ce2 0.5000 0.0000 0.5000  6 S 2.84
Ce3 0.5000 0.5000 0.0000  6 S 2.84
Pm1 0.0000 0.0000 0.0000  6 S 2.84
Th1 0.0000 0.0000 0.5000  6 S 2.86
Th2 0.0000 0.5000 0.0000  6 S 2.86
Th3 0.5000 0.0000 0.0000  6 S 2.86
Th4 0.5000 0.5000 0.5000  6 S 2.87
S1 0.2487 0.2487 0.7493  1 Pm 2.84, 2 Ce 2.84, 3 Th 2.86-2.87
S2 0.2487 0.7493 0.2487  1 Pm 2.84, 2 Ce 2.84, 3 Th 2.86-2.87
S3 0.2510 0.2510 0.2510  3 Ce 2.84, 3 Th 2.86
S4 0.2507 0.7513 0.7513  1 Pm 2.84, 2 Ce 2.84, 3 Th 2.86-2.87
S5 0.7493 0.2487 0.2487  1 Pm 2.84, 2 Ce 2.84, 3 Th 2.86-2.87
S6 0.7490 0.7490 0.7490  3 Ce 2.84, 3 Th 2.86
S7 0.7513 0.2507 0.7513  1 Pm 2.84, 2 Ce 2.84, 3 Th 2.86-2.87
S8 0.7513 0.7513 0.2507  1 Pm 2.84, 2 Ce 2.84, 3 Th 2.86-2.87


Repeat the fourth record exactly.
Ce3PmTh4S8 | GGA-PBE | optimized geometry

Calculated values
SG   No. 166
Energy relative to the elements, uncorrected   -1947 meV/atom
Magnetic moment   0.142 μB per atom

Lattice parameters (Å, degrees): 8.1056 8.1056 8.1056 59.36 59.36 59.36
Last column: nearest neighbours and their distance in Å.
Atoms (fractional coordinates):
Ce1 0.0000 0.5000 0.5000  6 S 2.84
Ce2 0.5000 0.0000 0.5000  6 S 2.84
Ce3 0.5000 0.5000 0.0000  6 S 2.84
Pm1 0.0000 0.0000 0.0000  6 S 2.84
Th1 0.0000 0.0000 0.5000  6 S 2.86
Th2 0.0000 0.5000 0.0000  6 S 2.86
Th3 0.5000 0.0000 0.0000  6 S 2.86
Th4 0.5000 0.5000 0.5000  6 S 2.87
S1 0.2487 0.2487 0.7493  1 Pm 2.84, 2 Ce 2.84, 3 Th 2.86-2.87
S2 0.2487 0.7493 0.2487  1 Pm 2.84, 2 Ce 2.84, 3 Th 2.86-2.87
S3 0.2510 0.2510 0.2510  3 Ce 2.84, 3 Th 2.86
S4 0.2507 0.7513 0.7513  1 Pm 2.84, 2 Ce 2.84, 3 Th 2.86-2.87
S5 0.7493 0.2487 0.2487  1 Pm 2.84, 2 Ce 2.84, 3 Th 2.86-2.87
S6 0.7490 0.7490 0.7490  3 Ce 2.84, 3 Th 2.86
S7 0.7513 0.2507 0.7513  1 Pm 2.84, 2 Ce 2.84, 3 Th 2.86-2.87
S8 0.7513 0.7513 0.2507  1 Pm 2.84, 2 Ce 2.84, 3 Th 2.86-2.87